DFT (PBE) results for a relaxed HfZr2Mo crystal.

## Properties
total DFT energy (no corrections): -37.184 eV/f.u.
energy of formation from the pure elements: 0.174 eV per atom
energy above the lowest structure with this stoichiometry: 0.143 eV/atom
total magnetization: 0.00 μB per atom

a b c (Å): 3.238 3.238 9.486
angles (deg): 80.17 80.17 60.00
Atoms (fractional coordinates):
Zr  0.259  0.259  0.223
Zr  0.741  0.741  0.777
Hf  0.500  0.500  0.500
Mo  0.000  0.000  0.000

***

DFT (PBE) results for a relaxed NiHgSe2 crystal.

## Properties
total DFT energy (no corrections): -11.898 eV/f.u.
total magnetization: 0.18 μB per atom

a b c (Å): 7.829 7.829 7.829
angles (deg): 30.46 30.46 30.46
Atoms (fractional coordinates):
Hg  0.500  0.500  0.500
Se  0.098  0.098  0.098
Se  0.902  0.902  0.902
Ni  0.000  0.000  0.000

***

DFT (PBE) results for a relaxed Sc2GeBr crystal.

## Properties
total DFT energy (no corrections): -21.447 eV/f.u.
energy above the lowest structure with this stoichiometry: 0.213 eV/atom
total magnetization: 0.18 μB per atom

a b c (Å): 4.891 4.891 4.891
angles (deg): 60.00 60.00 60.00
Atoms (fractional coordinates):
Br  0.500  0.500  0.500
Ge  0.000  0.000  0.000
Sc  0.250  0.250  0.250
Sc  0.750  0.750  0.750

***

- total DFT energy (no corrections) of number 3 (Sc2GeBr)?
  -21.447 eV/f.u.

***

- Which formula does entry 2 have?
  NiHgSe2

***

- Which value of total magnetization does entry 3 give?
  0.18 μB per atom

***

- total DFT energy (no corrections) of number 2 (NiHgSe2)?
  -11.898 eV/f.u.